[1]
Computed, not measured: CaHf2TcMo after structural relaxation at the PBE level of DFT.

```
CaHf2TcMo
1.0
5.101 0.000 0.000
0.000 4.743 0.000
0.000 0.000 5.101
Mo Hf Tc Ca
1 2 1 1
direct
0.000 0.000 0.000
0.000 0.000 0.500
0.500 0.000 0.000
0.000 0.500 0.000
0.500 0.500 0.500
```

Values from the calculation:
Energy relative to the elements ... 0.72 eV per atom
Magnetization ... 0.2 Bohr magnetons per cell
Electronic total energy ... -0.5810 Ry per atom

***

[2]
Computed, not measured: CaHf2TeMo after structural relaxation at the PBE level of DFT.

```
CaHf2TeMo
1.0
5.200 0.000 0.000
0.000 5.357 0.000
0.000 0.000 5.200
Hf Te Mo Ca
2 1 1 1
direct
0.000 0.000 0.500
0.500 0.000 0.000
0.000 0.000 0.000
0.500 0.500 0.500
0.000 0.500 0.000
```

Values from the calculation:
Magnetization ... 0.0 Bohr magnetons per cell
Electronic total energy ... -0.4328 Ry per atom

***

[3]
Computed, not measured: Ca2HfTeMo after structural relaxation at the PBE level of DFT.

```
Ca2HfTeMo
1.0
-1.245 -4.447 3.702
-1.603 -2.951 -4.083
5.501 -2.084 -0.654
Ca Mo Hf Te
2 1 1 1
direct
0.000 0.000 0.500
0.500 0.000 0.000
0.500 0.500 0.500
0.000 0.000 0.000
0.000 0.500 0.000
```

Values from the calculation:
Magnetization ... 0.1 Bohr magnetons per cell
Electronic total energy ... -0.2980 Ry per atom

***

[4]
Computed, not measured: CaHf2VMo after structural relaxation at the PBE level of DFT.

```
CaHf2VMo
1.0
-2.307 4.028 -1.744
-4.839 -2.054 1.656
0.560 2.225 4.396
Hf Mo Ca V
2 1 1 1
direct
0.000 0.000 0.500
0.500 0.000 0.000
0.000 0.000 0.000
0.000 0.500 0.000
0.500 0.500 0.500
```

Values from the calculation:
Energy relative to the elements ... 1.15 eV per atom
Magnetization ... 3.4 Bohr magnetons per cell
Electronic total energy ... -0.5311 Ry per atom

***

[5]
Computed, not measured: CaHfN2 after structural relaxation at the PBE level of DFT.

```
CaHfN2
1.0
-2.510 -1.286 -1.646
-0.889 -3.096 0.535
-4.759 0.299 3.787
Hf Ca N
1 1 2
direct
0.667 0.667 0.999
0.495 0.495 0.515
0.266 0.266 0.202
0.072 0.072 0.784
```

Values from the calculation:
Magnetization ... 0.0 Bohr magnetons per cell
Electronic total energy ... -0.6325 Ry per atom

***

[6]
Computed, not measured: CaHf3N after structural relaxation at the PBE level of DFT.

```
CaHf3N
1.0
-4.605 1.627 0.887
-1.069 -0.389 -4.831
-1.514 -4.673 0.711
Ca N Hf
1 1 3
direct
0.000 0.000 0.000
0.500 0.500 0.500
0.000 0.500 0.000
0.500 0.000 0.000
0.000 0.000 0.500
```

Values from the calculation:
Magnetization ... 0.0 Bohr magnetons per cell
Electronic total energy ... -0.3809 Ry per atom

***

[7]
Computed, not measured: CaHf3N after structural relaxation at the PBE level of DFT.

```
CaHf3N
1.0
-3.921 -0.569 -2.333
2.281 -2.282 -3.277
-0.753 -3.952 2.228
Hf N Ca
3 1 1
direct
0.000 0.000 0.500
0.500 0.000 0.000
0.000 0.500 0.000
0.000 0.000 0.000
0.500 0.500 0.500
```

Values from the calculation:
Magnetization ... 0.0 Bohr magnetons per cell
Electronic total energy ... -0.6173 Ry per atom

***

[8]
Computed, not measured: CaHfN2 after structural relaxation at the PBE level of DFT.

```
CaHfN2
1.0
-1.671 -6.158 2.171
0.641 -4.840 4.647
-2.858 -3.863 4.727
N Ca Hf
2 1 1
direct
0.898 0.898 0.898
0.102 0.102 0.102
0.500 0.500 0.500
0.000 0.000 0.000
```

Values from the calculation:
Magnetization ... 1.3 Bohr magnetons per cell
Electronic total energy ... -0.5341 Ry per atom